1.
DFT (GGA-PBE) results for K3Nb2Cu3Se8 after structural relaxation.

POSCAR file:
```
K3Nb2Cu3Se8
1.0
-7.6246 -9.8868 -1.5196
-3.5893 -11.8764 2.0642
-3.4665 10.7175 9.8529
Cu Se K Nb
6 16 6 4
direct
0.7253 0.2747 0.2500 Cu
0.2747 0.7253 0.7500 Cu
0.0959 0.6582 0.2202 Cu
0.9041 0.3418 0.7798 Cu
0.3418 0.9041 0.2798 Cu
0.6582 0.0959 0.7202 Cu
0.9484 0.8680 0.6223 Se
0.1286 0.1867 0.1836 Se
0.7446 0.6820 0.8942 Se
0.8133 0.8714 0.3164 Se
0.1867 0.1286 0.6836 Se
0.0516 0.1320 0.3777 Se
0.8714 0.8133 0.8164 Se
0.4421 0.4873 0.3449 Se
0.6820 0.7446 0.3942 Se
0.1320 0.0516 0.8777 Se
0.3180 0.2554 0.6058 Se
0.2554 0.3180 0.1058 Se
0.5127 0.5579 0.1551 Se
0.8680 0.9484 0.1223 Se
0.4873 0.4421 0.8449 Se
0.5579 0.5127 0.6551 Se
0.3475 0.2707 0.9059 K
0.7293 0.6525 0.5941 K
0.0000 0.0000 0.5000 K
0.2707 0.3475 0.4059 K
0.0000 0.0000 0.0000 K
0.6525 0.7293 0.0941 K
0.8439 0.4069 0.2792 Nb
0.5931 0.1561 0.2208 Nb
0.1561 0.5931 0.7208 Nb
0.4069 0.8439 0.7792 Nb
```

Values from the calculation:
crystal system	monoclinic

---

2.
DFT (GGA-PBE) results for KNbCuSe3 after structural relaxation.

POSCAR file:
```
KNbCuSe3
1.0
-11.5153 0.0536 -1.4810
0.0501 -3.8077 -0.5275
-1.5563 -1.6884 12.0402
K Nb Se Cu
4 4 12 4
direct
0.1726 0.0000 0.9784 K
0.8274 0.5000 0.0216 K
0.6726 0.0000 0.5216 K
0.3274 0.5000 0.4784 K
0.9524 0.5000 0.3404 Nb
0.0476 0.0000 0.6596 Nb
0.5476 0.0000 0.8404 Nb
0.4524 0.5000 0.1596 Nb
0.7330 0.5000 0.3336 Se
0.9088 0.5000 0.5734 Se
0.2330 0.5000 0.1664 Se
0.0329 0.5000 0.8118 Se
0.4671 0.0000 0.3118 Se
0.2670 0.0000 0.6664 Se
0.7670 0.0000 0.8336 Se
0.4088 0.5000 0.9266 Se
0.9671 0.0000 0.1882 Se
0.0912 0.0000 0.4266 Se
0.5329 0.5000 0.6882 Se
0.5912 0.0000 0.0734 Se
0.2635 0.0000 0.2755 Cu
0.2365 0.5000 0.7755 Cu
0.7365 0.5000 0.7245 Cu
0.7635 0.0000 0.2245 Cu
```

Values from the calculation:
crystal system	orthorhombic

---

3.
DFT (GGA-PBE) results for K2NbCuSe4 after structural relaxation.

POSCAR file:
```
K2NbCuSe4
1.0
1.3182 3.9234 4.0185
-2.8425 -1.6018 6.6370
9.3342 -8.1685 0.7726
Cu K Se Nb
2 4 8 2
direct
0.3750 0.7500 0.2500 Cu
0.6250 0.2500 0.7500 Cu
0.9455 0.2500 0.3910 K
0.0545 0.7500 0.6090 K
0.6955 0.7500 0.8910 K
0.3045 0.2500 0.1090 K
0.9594 0.9570 0.1352 Se
0.0406 0.0430 0.8648 Se
0.4164 0.0430 0.6352 Se
0.6758 0.5430 0.1352 Se
0.5836 0.9570 0.3648 Se
0.7188 0.4570 0.6352 Se
0.3242 0.4570 0.8648 Se
0.2812 0.5430 0.3648 Se
0.8750 0.7500 0.2500 Nb
0.1250 0.2500 0.7500 Nb
```

Values from the calculation:
crystal system	orthorhombic

---

4.
DFT (GGA-PBE) results for KNbCuTeSe2 after structural relaxation.

POSCAR file:
```
KNbCuTeSe2
1.0
1.8900 -7.9706 0.0000
1.8900 7.9706 0.0000
0.0000 0.0000 10.3346
Se Te K Nb Cu
4 2 2 2 2
direct
0.6116 0.3884 0.4431 Se
0.3884 0.6116 0.9431 Se
0.6116 0.3884 0.0569 Se
0.3884 0.6116 0.5569 Se
0.0829 0.9171 0.7500 Te
0.9171 0.0829 0.2500 Te
0.7722 0.2278 0.7500 K
0.2278 0.7722 0.2500 K
0.0000 0.0000 0.0000 Nb
0.0000 0.0000 0.5000 Nb
0.4712 0.5288 0.7500 Cu
0.5288 0.4712 0.2500 Cu
```

Values from the calculation:
crystal system	orthorhombic

---

5.
DFT (GGA-PBE) results for KNbCuTe3 after structural relaxation.

POSCAR file:
```
KNbCuTe3
1.0
-6.8279 -9.4225 -4.6783
2.3244 0.0269 -3.4465
7.9686 -8.4100 5.3085
Cu Nb Te K
4 4 12 4
direct
0.7679 0.0000 0.2166 Cu
0.2679 0.0000 0.2834 Cu
0.7321 0.5000 0.7166 Cu
0.2321 0.5000 0.7834 Cu
0.4522 0.5000 0.1636 Nb
0.5478 0.0000 0.8364 Nb
0.0478 0.0000 0.6636 Nb
0.9522 0.5000 0.3364 Nb
0.4123 0.5000 0.9277 Te
0.0877 0.0000 0.4277 Te
0.7320 0.5000 0.3257 Te
0.9123 0.5000 0.5723 Te
0.7680 0.0000 0.8257 Te
0.0307 0.5000 0.8205 Te
0.2680 0.0000 0.6743 Te
0.5877 0.0000 0.0723 Te
0.2320 0.5000 0.1743 Te
0.4693 0.0000 0.3205 Te
0.9693 0.0000 0.1795 Te
0.5307 0.5000 0.6795 Te
0.3169 0.5000 0.4772 K
0.8169 0.5000 0.0228 K
0.6831 0.0000 0.5228 K
0.1831 0.0000 0.9772 K
```

Values from the calculation:
crystal system	orthorhombic

---

6.
DFT (GGA-PBE) results for KNdCu after structural relaxation.

POSCAR file:
```
KNdCu
1.0
0.0000 3.6382 3.6382
3.6382 0.0000 3.6382
3.6382 3.6382 0.0000
Nd Cu K
1 1 1
direct
0.7500 0.7500 0.7500 Nd
0.0000 0.0000 0.0000 Cu
0.2500 0.2500 0.2500 K
```

Values from the calculation:
crystal system	cubic

---

7.
DFT (GGA-PBE) results for KNdCuS3 after structural relaxation.

POSCAR file:
```
KNdCuS3
1.0
8.7431 0.0000 0.0000
0.0000 4.0498 0.0000
-2.4008 0.0000 9.0554
S Cu K Nd
6 2 2 2
direct
0.6772 0.7500 0.0350 S
0.3229 0.2500 0.9650 S
0.0460 0.2500 0.3386 S
0.3997 0.7500 0.6472 S
0.9540 0.7500 0.6614 S
0.6003 0.2500 0.3528 S
0.5836 0.2500 0.1040 Cu
0.4164 0.7500 0.8960 Cu
0.7015 0.2500 0.7373 K
0.2985 0.7500 0.2627 K
0.1748 0.2500 0.6452 Nd
0.8252 0.7500 0.3548 Nd
```

Values from the calculation:
crystal system	monoclinic

---

8.
DFT (GGA-PBE) results for KNdCu4S4 after structural relaxation.

POSCAR file:
```
KNdCu4S4
1.0
-1.9122 6.5073 1.9216
-4.7177 -2.3261 3.1827
6.3423 -3.4219 6.9002
Cu S Nd K
8 8 2 2
direct
0.4981 0.3721 0.9986 Cu
0.2202 0.1327 0.0450 Cu
0.8700 0.0315 0.0893 Cu
0.5019 0.8721 0.0014 Cu
0.7798 0.6327 0.9550 Cu
0.3484 0.0650 0.4157 Cu
0.1300 0.5315 0.9107 Cu
0.6516 0.5650 0.5843 Cu
0.4431 0.6214 0.8391 S
0.5569 0.1214 0.1609 S
0.9847 0.8994 0.9048 S
0.6417 0.8876 0.4841 S
0.0626 0.8953 0.3071 S
0.9374 0.3953 0.6929 S
0.3583 0.3876 0.5159 S
0.0153 0.3994 0.0952 S
0.3378 0.6306 0.2729 Nd
0.6622 0.1306 0.7271 Nd
0.0992 0.8721 0.6253 K
0.9008 0.3721 0.3747 K
```

Values from the calculation:
crystal system	monoclinic

---

9.
DFT (GGA-PBE) results for KNdCu3Se4 after structural relaxation.

POSCAR file:
```
KNdCu3Se4
1.0
-3.2823 -3.6562 -4.1606
4.9378 0.2595 -4.1235
2.5093 -5.2931 2.6718
K Cu Se Nd
1 3 4 1
direct
0.0000 0.0000 0.0000 K
0.5000 0.5000 0.0000 Cu
0.0000 0.5000 0.5000 Cu
0.5000 0.0000 0.5000 Cu
0.2608 0.7392 0.7392 Se
0.7392 0.2608 0.7392 Se
0.2608 0.2608 0.2608 Se
0.7392 0.7392 0.2608 Se
0.5000 0.5000 0.5000 Nd
```

Values from the calculation:
crystal system	cubic

---

10.
DFT (GGA-PBE) results for KNdCuTe3 after structural relaxation.

POSCAR file:
```
KNdCuTe3
1.0
10.0051 0.0000 0.0000
0.0000 4.3097 0.0000
-3.6983 0.0000 9.6163
Te K Nd Cu
6 2 2 2
direct
0.4655 0.7500 0.1817 Te
0.8032 0.2500 0.4778 Te
0.0895 0.2500 0.8530 Te
0.9105 0.7500 0.1470 Te
0.1968 0.7500 0.5222 Te
0.5345 0.2500 0.8183 Te
0.7850 0.7500 0.7559 K
0.2150 0.2500 0.2441 K
0.6825 0.2500 0.1456 Nd
0.3175 0.7500 0.8544 Nd
0.9151 0.7500 0.4036 Cu
0.0849 0.2500 0.5964 Cu
```

Values from the calculation:
crystal system	monoclinic

---

11.
DFT (GGA-PBE) results for KNdCu3Te4 after structural relaxation.

POSCAR file:
```
KNdCu3Te4
1.0
6.8402 0.0000 0.0000
0.0000 6.8402 0.0000
0.0000 0.0000 6.8402
Nd Cu Te K
1 3 4 1
direct
0.5000 0.5000 0.5000 Nd
0.5000 0.5000 0.0000 Cu
0.5000 0.0000 0.5000 Cu
0.0000 0.5000 0.5000 Cu
0.7411 0.7411 0.2589 Te
0.2589 0.2589 0.2589 Te
0.7411 0.2589 0.7411 Te
0.2589 0.7411 0.7411 Te
0.0000 0.0000 0.0000 K
```

Values from the calculation:
crystal system	cubic

---

12.
DFT (GGA-PBE) results for KCuNiS3 after structural relaxation.

POSCAR file:
```
KCuNiS3
1.0
-1.9481 -4.5583 -5.1259
1.0196 -3.1383 -6.3213
5.0371 -6.9417 4.2588
S Cu Ni K
6 2 2 2
direct
0.9415 0.9415 0.7500 S
0.0585 0.0585 0.2500 S
0.6068 0.6068 0.5348 S
0.6068 0.6068 0.9652 S
0.3932 0.3932 0.4652 S
0.3932 0.3932 0.0348 S
0.5425 0.5426 0.7500 Cu
0.4574 0.4575 0.2500 Cu
0.0000 0.0000 0.0000 Ni
0.0000 0.0000 0.5000 Ni
0.7496 0.7496 0.2500 K
0.2504 0.2504 0.7500 K
```

Values from the calculation:
crystal system	orthorhombic

---

no.,E_tot (eV per atom)
1,-4.75
2,-4.86
3,-4.69
4,-4.83
5,-4.42
6,-2.67
7,-4.89
8,-4.43
9,-3.90
10,-4.08
11,-3.56
12,-4.20